# CdIn2TcSe

A geometry-optimized CdIn2TcSe structure (PBE, Alexandria via LeMat-Bulk).

Structure (CIF):
```
data_CdIn2TcSe
_cell_length_a 5.504
_cell_length_b 5.504
_cell_length_c 5.194
_cell_angle_alpha 90.00
_cell_angle_beta 90.00
_cell_angle_gamma 90.00
_symmetry_space_group_name_H-M 'P 4/m m m'
_symmetry_Int_Tables_number 123
_symmetry_space_group_name_Hall '-P 4 2'
loop_
_atom_site_label
_atom_site_fract_x
_atom_site_fract_y
_atom_site_fract_z
Cd1 0.000 0.000 0.000
In1 0.000 0.500 0.000
Tc1 0.500 0.500 0.500
Se1 0.000 0.000 0.500
```

**Formation energy without anion corrections**: 111 kJ/mol of atoms


# TlCdInSe3

A geometry-optimized TlCdInSe3 structure (PBE, Alexandria via LeMat-Bulk).

Structure (CIF):
```
data_TlCdInSe3
_cell_length_a 8.028
_cell_length_b 4.111
_cell_length_c 11.414
_cell_angle_alpha 90.00
_cell_angle_beta 109.22
_cell_angle_gamma 90.00
_symmetry_space_group_name_H-M 'P 1 21/m 1'
_symmetry_Int_Tables_number 11
loop_
_symmetry_equiv_pos_as_xyz
'x,y,z'
'-x,-y,-z'
'-x,y+1/2,-z'
'x,-y+1/2,z'
loop_
_atom_site_label
_atom_site_fract_x
_atom_site_fract_y
_atom_site_fract_z
Tl1 0.196 0.250 0.220
Cd1 0.191 0.750 0.581
In1 0.374 0.250 0.856
Se1 0.006 0.750 0.337
Se2 0.279 0.750 0.967
Se3 0.446 0.250 0.652
```

**Formation energy without anion corrections**: -47 kJ/mol of atoms


# CdIn2Si

A geometry-optimized CdIn2Si structure (PBE, Alexandria via LeMat-Bulk).

Structure (CIF):
```
data_CdIn2Si
_cell_length_a 6.900
_cell_length_b 8.160
_cell_length_c 3.271
_cell_angle_alpha 90.00
_cell_angle_beta 90.00
_cell_angle_gamma 90.00
_symmetry_space_group_name_H-M 'C m m m'
_symmetry_Int_Tables_number 65
_symmetry_space_group_name_Hall '-C 2 2'
loop_
_atom_site_label
_atom_site_fract_x
_atom_site_fract_y
_atom_site_fract_z
Cd1 0.000 0.000 0.000
In1 0.250 0.250 0.500
Si1 0.000 0.500 0.000
```

**Formation energy without anion corrections**: 27 kJ/mol of atoms


# Cd3In12Si5

A geometry-optimized Cd3In12Si5 structure (PBE, Alexandria via LeMat-Bulk).

Structure (CIF):
```
data_Cd3In12Si5
_cell_length_a 16.372
_cell_length_b 16.372
_cell_length_c 16.372
_cell_angle_alpha 90.00
_cell_angle_beta 90.00
_cell_angle_gamma 90.00
_symmetry_space_group_name_H-M 'I a -3 d'
_symmetry_Int_Tables_number 230
_symmetry_space_group_name_Hall '-I 4bd 2c 3'
loop_
_atom_site_label
_atom_site_fract_x
_atom_site_fract_y
_atom_site_fract_z
Cd1 0.000 0.250 0.125
In1 0.028 0.077 0.647
Si1 0.000 0.000 0.000
Si2 0.000 0.250 0.375
```

**Formation energy without anion corrections**: 23 kJ/mol of atoms


# CdIn2Si

A geometry-optimized CdIn2Si structure (PBE, Alexandria via LeMat-Bulk).

Structure (CIF):
```
data_CdIn2Si
_cell_length_a 3.231
_cell_length_b 4.119
_cell_length_c 6.987
_cell_angle_alpha 90.00
_cell_angle_beta 90.00
_cell_angle_gamma 90.00
_symmetry_space_group_name_H-M 'P m m 2'
_symmetry_Int_Tables_number 25
loop_
_symmetry_equiv_pos_as_xyz
'x,y,z'
'-x,-y,z'
'-x,y,z'
'x,-y,z'
loop_
_atom_site_label
_atom_site_fract_x
_atom_site_fract_y
_atom_site_fract_z
Cd1 0.000 0.000 0.000
In1 0.000 0.000 0.556
In2 0.500 0.500 0.266
Si1 0.500 0.500 0.784
```

**Formation energy without anion corrections**: 27 kJ/mol of atoms


# Cd2In2Si

A geometry-optimized Cd2In2Si structure (PBE, Alexandria via LeMat-Bulk).

Structure (CIF):
```
data_Cd2In2Si
_cell_length_a 7.107
_cell_length_b 7.107
_cell_length_c 4.980
_cell_angle_alpha 90.00
_cell_angle_beta 90.00
_cell_angle_gamma 90.00
_symmetry_space_group_name_H-M 'P 4/m b m'
_symmetry_Int_Tables_number 127
_symmetry_space_group_name_Hall '-P 4 2ab'
loop_
_atom_site_label
_atom_site_fract_x
_atom_site_fract_y
_atom_site_fract_z
Cd1 0.144 0.356 0.000
In1 0.169 0.669 0.500
Si1 0.000 0.000 0.000
```

**Relative energy among the computed polymorphs**: 0.000 eV/atom
**Formation energy without anion corrections**: 27 kJ/mol of atoms


Question: What is the formula in the second record?
Answer: TlCdInSe3


Question: Which formula does entry 3 have?
Answer: CdIn2Si


Question: What is the formation energy without anion corrections in the second record?
Answer: -47 kJ/mol of atoms


Question: formation energy without anion corrections of number 2 (TlCdInSe3)?
Answer: -47 kJ/mol of atoms